Here is a relaxed structure of SrLi2GePd from Alexandria. Energies are from PBE.

Unit cell a=4.8139 b=4.8139 c=4.8708 alpha=90.00 beta=90.00 gamma=90.00
Last column: nearest neighbours and their distance in Å.
Fractional positions:
Li: 0.5000 0.0000 0.0000  2 Ge 2.41
Li: 0.0000 0.5000 0.0000  2 Ge 2.41
Ge: 0.0000 0.0000 0.0000  4 Li 2.41, 2 Pd 2.44
Sr: 0.5000 0.5000 0.5000  4 Pd 3.40, 8 Li 3.42
Pd: 0.0000 0.0000 0.5000  2 Ge 2.44

Computed properties:
- N(E_F): 1.83 states/eV per cell
- E_form: -0.36 eV per atom
- V: 113 Å³/cell